Density functional theory data (PBE-GGA) for a geometry-optimized Zr2TlCr structure.

Unit cell a=4.8378 b=4.8378 c=4.8378 alpha=60.00 beta=60.00 gamma=60.00
Fractional coordinates of all 4 atoms:
Zr 0.2500 0.2500 0.2500
Zr 0.7500 0.7500 0.7500
Tl 0.0000 0.0000 0.0000
Cr 0.5000 0.5000 0.5000

Calculated values
**Fermi-level density of states**: 3.1 states/eV per cell
**Polymorph energy (0 for the lowest one)**: 177 meV per atom
**Formation energy**: 0.23 eV/atom
**Symmetry**: Fm-3m